a) VASP calculation (PBE) on a relaxed PmCdGe crystal.

Values from the calculation:
Symmetry: F-43m, No. 216
Spin magnetization (Bohr magnetons per cell): 0.0
Crystal system: cubic

a = 4.8213 Å, b = 4.8213 Å, c = 4.8213 Å
α = 60.00°, β = 60.00°, γ = 60.00°
Last column: nearest neighbours and their distance in Å.
Fractional coordinates of all 3 atoms:
Cd (0.0000, 0.0000, 0.0000)  4 Ge 2.95, 4 Pm 2.95
Ge (0.2500, 0.2500, 0.2500)  4 Cd 2.95
Pm (0.7500, 0.7500, 0.7500)  4 Cd 2.95

***

b) VASP calculation (PBE) on a relaxed PmCdGe crystal.

Values from the calculation:
Symmetry: F-43m, No. 216
Spin magnetization (Bohr magnetons per cell): 0.0
Crystal system: cubic

a = 4.9646 Å, b = 4.9646 Å, c = 4.9646 Å
α = 60.00°, β = 60.00°, γ = 60.00°
Last column: nearest neighbours and their distance in Å.
Fractional coordinates of all 3 atoms:
Cd (0.2500, 0.2500, 0.2500)  4 Pm 3.04
Ge (0.7500, 0.7500, 0.7500)  4 Pm 3.04
Pm (0.0000, 0.0000, 0.0000)  4 Ge 3.04, 4 Cd 3.04

***

Decreasing stability: a), b)

***

a) VASP calculation (PBE) on a relaxed ZnCdGeSe3 crystal.

Values from the calculation:
Symmetry: Cmcm, No. 63
Crystal system: orthorhombic

a = 3.7900 Å, b = 7.0483 Å, c = 11.8980 Å
α = 90.00°, β = 90.00°, γ = 74.40°
Last column: nearest neighbours and their distance in Å.
Fractional coordinates of all 12 atoms:
Cd (0.4907, 0.0186, 0.2500)  4 Se 2.64-2.70
Cd (0.5093, 0.9814, 0.7500)  4 Se 2.64-2.70
Ge (0.2096, 0.5808, 0.2500)  2 Se 2.68
Ge (0.7904, 0.4192, 0.7500)  2 Se 2.68
Se (0.6125, 0.7750, 0.0769)  2 Zn 2.60, 1 Cd 2.64
Se (0.8487, 0.3026, 0.2500)  2 Ge 2.68, 2 Cd 2.70
Se (0.6125, 0.7750, 0.4231)  2 Zn 2.60, 1 Cd 2.64
Se (0.3875, 0.2250, 0.5769)  2 Zn 2.60, 1 Cd 2.64
Se (0.1513, 0.6974, 0.7500)  2 Ge 2.68, 2 Cd 2.70
Se (0.3875, 0.2250, 0.9231)  2 Zn 2.60, 1 Cd 2.64
Zn (0.0000, 0.0000, 0.0000)  4 Se 2.60
Zn (0.0000, 0.0000, 0.5000)  4 Se 2.60

***

b) VASP calculation (PBE) on a relaxed ZnCdGeSe3 crystal.

Values from the calculation:
Symmetry: Cmcm, No. 63
Crystal system: orthorhombic

a = 6.7930 Å, b = 6.7930 Å, c = 11.0620 Å
α = 90.00°, β = 90.00°, γ = 33.34°
Last column: nearest neighbours and their distance in Å.
Fractional coordinates of all 12 atoms:
Cd (0.0000, 0.0000, 0.0000)  6 Se 2.82-3.07
Cd (0.0000, 0.0000, 0.5000)  6 Se 2.82-3.07
Ge (0.7746, 0.7746, 0.2500)  6 Se 2.92-2.96
Ge (0.2254, 0.2254, 0.7500)  6 Se 2.92-2.96
Se (0.3592, 0.3592, 0.0809)  1 Zn 2.48
Se (0.1032, 0.1032, 0.2500)  2 Zn 2.49
Se (0.3592, 0.3592, 0.4191)  1 Zn 2.48
Se (0.6408, 0.6408, 0.5809)  1 Zn 2.48
Se (0.8968, 0.8968, 0.7500)  2 Zn 2.49
Se (0.6408, 0.6408, 0.9191)  1 Zn 2.48
Zn (0.4839, 0.4839, 0.2500)  4 Se 2.48-2.49
Zn (0.5161, 0.5161, 0.7500)  4 Se 2.48-2.49

***

Decreasing stability: b), a)

***

a) VASP calculation (PBE) on a relaxed ZnCdGeTe3 crystal.

Values from the calculation:
Symmetry: Cmcm, No. 63
Crystal system: orthorhombic

a = 7.1986 Å, b = 7.1986 Å, c = 11.6953 Å
α = 90.00°, β = 90.00°, γ = 33.50°
Last column: nearest neighbours and their distance in Å.
Fractional coordinates of all 12 atoms:
Cd (0.0000, 0.0000, 0.0000)  6 Te 3.02-3.26
Cd (0.0000, 0.0000, 0.5000)  6 Te 3.02-3.26
Ge (0.7773, 0.7774, 0.2500)  6 Te 3.09-3.16
Ge (0.2226, 0.2227, 0.7500)  6 Te 3.09-3.16
Te (0.3549, 0.3549, 0.0767)  1 Zn 2.67
Te (0.1047, 0.1047, 0.2500)  2 Zn 2.69
Te (0.3549, 0.3549, 0.4233)  1 Zn 2.67
Te (0.6451, 0.6451, 0.5767)  1 Zn 2.67
Te (0.8953, 0.8953, 0.7500)  2 Zn 2.69
Te (0.6451, 0.6451, 0.9233)  1 Zn 2.67
Zn (0.4804, 0.4804, 0.2500)  4 Te 2.67-2.69
Zn (0.5196, 0.5196, 0.7500)  4 Te 2.67-2.69

***

b) VASP calculation (PBE) on a relaxed ZnCdGeTe3 crystal.

Values from the calculation:
Symmetry: Cmcm, No. 63
Crystal system: orthorhombic

a = 4.0509 Å, b = 7.3140 Å, c = 12.1781 Å
α = 90.00°, β = 90.00°, γ = 73.92°
Last column: nearest neighbours and their distance in Å.
Fractional coordinates of all 12 atoms:
Cd (0.5066, 0.9869, 0.2500)  4 Te 2.81-2.87
Cd (0.4935, 0.0131, 0.7500)  4 Te 2.81-2.87
Ge (0.2131, 0.5737, 0.2500)  6 Te 2.91-3.25
Ge (0.7869, 0.4263, 0.7500)  6 Te 2.91-3.25
Te (0.6274, 0.7451, 0.0667)  1 Cd 2.81, 2 Zn 2.82
Te (0.8614, 0.2771, 0.2500)  2 Cd 2.87, 2 Ge 2.91
Te (0.6274, 0.7451, 0.4333)  1 Cd 2.81, 2 Zn 2.82
Te (0.3726, 0.2549, 0.5667)  1 Cd 2.81, 2 Zn 2.82
Te (0.1386, 0.7229, 0.7500)  2 Cd 2.87, 2 Ge 2.91
Te (0.3726, 0.2549, 0.9333)  1 Cd 2.81, 2 Zn 2.82
Zn (0.0000, 0.0000, 0.0000)  4 Te 2.82
Zn (0.0000, 0.0000, 0.5000)  4 Te 2.82

***

Decreasing stability: a), b)